VASP calculation (GGA-PBE) on an optimized crystal structure of RePRu2.

Properties
Volume, Å³ per cell: 54.4
Fermi-level density of states, states/eV per atom: 0.68
Energy of formation, eV/atom: -0.161
Total moment, μB per atom: 0.000
E_tot, eV for the cell shown: -37.1

Geometry as POSCAR:
```
RePRu2
1.0
-1.9528 -1.7875 4.3712
-3.9616 2.4299 2.1255
1.8447 -2.5227 -4.0435
Ru Re P
2 1 1
Direct
0.2881 0.7881 0.5000
0.9970 0.9970 0.0000
0.7173 0.2172 0.5000
0.4976 0.4976 0.0000
```

---

VASP calculation (GGA-PBE) on an optimized crystal structure of RePRu2.

Properties
Volume, Å³ per cell: 55.5
Fermi-level density of states, states/eV per atom: 1.07
Energy of formation, eV/atom: 0.210
Total moment, μB per atom: 0.000
E_tot, eV for the cell shown: -35.6

Geometry as POSCAR:
```
RePRu2
1.0
2.7836 -3.5596 0.0000
2.7836 3.5596 0.0000
0.0000 0.0000 2.8013
Re P Ru
1 1 2
Direct
0.5000 0.5000 0.5000
0.0000 0.0000 0.5000
0.0000 0.5000 0.0000
0.5000 0.0000 0.0000
```

---

VASP calculation (GGA-PBE) on an optimized crystal structure of RePRu2.

Properties
Volume, Å³ per cell: 54.1
Fermi-level density of states, states/eV per atom: 0.59
Energy of formation, eV/atom: -0.144
Total moment, μB per atom: 0.000
E_tot, eV for the cell shown: -37.0

Geometry as POSCAR:
```
RePRu2
1.0
-0.9532 1.8305 -1.9776
-1.3894 -2.1312 -1.3030
-5.3472 1.2200 3.7067
Ru Re P
2 1 1
Direct
0.5000 0.5000 0.2922
0.0000 0.0000 0.9909
0.5000 0.5000 0.7260
0.0000 0.0000 0.4910
```

---

> Which value of energy of formation does entry 3 give?

-0.144 eV/atom